(1)
A plane-wave DFT calculation with PBE was carried out for crystalline FeGe4 at its relaxed geometry.

Geometry as CIF:
```
data_FeGe4
_chemical_formula_sum 'Fe8 Ge32'
_cell_length_a 5.5568
_cell_length_b 11.6157
_cell_length_c 11.7614
_cell_angle_alpha 90.00
_cell_angle_beta 92.53
_cell_angle_gamma 90.00
_symmetry_space_group_name_H-M 'C 1 2/c 1'
_symmetry_Int_Tables_number 15
_symmetry_space_group_name_Hall '-C 2yc'
loop_
_atom_site_label
_atom_site_type_symbol
_atom_site_fract_x
_atom_site_fract_y
_atom_site_fract_z
Fe1 Fe 0.0000 0.0902 0.2500
Fe2 Fe 0.2500 0.2500 0.5000
Ge1 Ge 0.0286 0.0996 0.0513
Ge2 Ge 0.0310 0.3938 0.0272
Ge3 Ge 0.2125 0.2647 0.7034
Ge4 Ge 0.2287 0.4427 0.2217
```

Results
Theoretical density ... 6.07 g/cm³
E ... -206.558 eV for the cell shown

(2)
A plane-wave DFT calculation with PBE was carried out for crystalline Hf4Fe4Ge7 at its relaxed geometry.

Geometry as CIF:
```
data_Hf4Fe4Ge7
_chemical_formula_sum 'Hf16 Fe16 Ge28'
_cell_length_a 13.3451
_cell_length_b 13.3451
_cell_length_c 5.1449
_cell_angle_alpha 90.00
_cell_angle_beta 90.00
_cell_angle_gamma 90.00
_symmetry_space_group_name_H-M 'I 4/m m m'
_symmetry_Int_Tables_number 139
_symmetry_space_group_name_Hall '-I 4 2'
loop_
_atom_site_label
_atom_site_type_symbol
_atom_site_fract_x
_atom_site_fract_y
_atom_site_fract_z
Hf1 Hf 0.0000 0.1948 0.0000
Hf2 Hf 0.1389 0.1389 0.5000
Fe1 Fe 0.1490 0.3510 0.2500
Ge1 Ge 0.0000 0.0000 0.2510
Ge2 Ge 0.0000 0.2895 0.5000
Ge3 Ge 0.0000 0.4063 0.0000
Ge4 Ge 0.2058 0.2058 0.0000
```

Results
Theoretical density ... 10.48 g/cm³
E ... -451.328 eV for the cell shown

(3)
A plane-wave DFT calculation with PBE was carried out for crystalline Hf2FeGe at its relaxed geometry.

Geometry as CIF:
```
data_Hf2FeGe
_chemical_formula_sum 'Hf8 Fe4 Ge4'
_cell_length_a 6.4556
_cell_length_b 6.4556
_cell_length_c 6.4556
_cell_angle_alpha 90.00
_cell_angle_beta 90.00
_cell_angle_gamma 90.00
_symmetry_space_group_name_H-M 'F -4 3 m'
_symmetry_Int_Tables_number 216
_symmetry_space_group_name_Hall 'F -4 2 3'
loop_
_atom_site_label
_atom_site_type_symbol
_atom_site_fract_x
_atom_site_fract_y
_atom_site_fract_z
Hf1 Hf 0.0000 0.0000 0.0000
Hf2 Hf 0.2500 0.2500 0.2500
Fe1 Fe 0.2500 0.2500 0.7500
Ge1 Ge 0.0000 0.0000 0.5000
```

Results
Theoretical density ... 11.99 g/cm³
E ... -129.228 eV for the cell shown

(4)
A plane-wave DFT calculation with PBE was carried out for crystalline HfFeGeIr at its relaxed geometry.

Geometry as CIF:
```
data_HfFeGeIr
_chemical_formula_sum 'Hf4 Fe4 Ge4 Ir4'
_cell_length_a 6.3489
_cell_length_b 6.3489
_cell_length_c 6.3489
_cell_angle_alpha 90.00
_cell_angle_beta 90.00
_cell_angle_gamma 90.00
_symmetry_space_group_name_H-M 'F -4 3 m'
_symmetry_Int_Tables_number 216
_symmetry_space_group_name_Hall 'F -4 2 3'
loop_
_atom_site_label
_atom_site_type_symbol
_atom_site_fract_x
_atom_site_fract_y
_atom_site_fract_z
Hf1 Hf 0.0000 0.0000 0.0000
Fe1 Fe 0.0000 0.0000 0.5000
Ge1 Ge 0.2500 0.2500 0.2500
Ir1 Ir 0.2500 0.2500 0.7500
```

Results
Theoretical density ... 12.96 g/cm³
E ... -129.877 eV for the cell shown

(5)
A plane-wave DFT calculation with PBE was carried out for crystalline HfFeGeIr at its relaxed geometry.

Geometry as CIF:
```
data_HfFeGeIr
_chemical_formula_sum 'Hf4 Fe4 Ge4 Ir4'
_cell_length_a 6.2132
_cell_length_b 6.2132
_cell_length_c 6.2132
_cell_angle_alpha 90.00
_cell_angle_beta 90.00
_cell_angle_gamma 90.00
_symmetry_space_group_name_H-M 'F -4 3 m'
_symmetry_Int_Tables_number 216
_symmetry_space_group_name_Hall 'F -4 2 3'
loop_
_atom_site_label
_atom_site_type_symbol
_atom_site_fract_x
_atom_site_fract_y
_atom_site_fract_z
Hf1 Hf 0.0000 0.0000 0.0000
Fe1 Fe 0.2500 0.2500 0.7500
Ge1 Ge 0.0000 0.0000 0.5000
Ir1 Ir 0.2500 0.2500 0.2500
```

Results
Theoretical density ... 13.82 g/cm³
E ... -134.135 eV for the cell shown

(6)
A plane-wave DFT calculation with PBE was carried out for crystalline HfMgFeGe at its relaxed geometry.

Geometry as CIF:
```
data_HfMgFeGe
_chemical_formula_sum 'Hf4 Mg4 Fe4 Ge4'
_cell_length_a 6.2373
_cell_length_b 6.2373
_cell_length_c 6.2373
_cell_angle_alpha 90.00
_cell_angle_beta 90.00
_cell_angle_gamma 90.00
_symmetry_space_group_name_H-M 'F -4 3 m'
_symmetry_Int_Tables_number 216
_symmetry_space_group_name_Hall 'F -4 2 3'
loop_
_atom_site_label
_atom_site_type_symbol
_atom_site_fract_x
_atom_site_fract_y
_atom_site_fract_z
Hf1 Hf 0.0000 0.0000 0.0000
Mg1 Mg 0.2500 0.2500 0.2500
Fe1 Fe 0.2500 0.2500 0.7500
Ge1 Ge 0.0000 0.0000 0.5000
```

Results
Theoretical density ... 9.07 g/cm³
E ... -98.776 eV for the cell shown

(7)
A plane-wave DFT calculation with PBE was carried out for crystalline HfMgFeGe at its relaxed geometry.

Geometry as CIF:
```
data_HfMgFeGe
_chemical_formula_sum 'Hf4 Mg4 Fe4 Ge4'
_cell_length_a 6.4277
_cell_length_b 6.4277
_cell_length_c 6.4277
_cell_angle_alpha 90.00
_cell_angle_beta 90.00
_cell_angle_gamma 90.00
_symmetry_space_group_name_H-M 'F -4 3 m'
_symmetry_Int_Tables_number 216
_symmetry_space_group_name_Hall 'F -4 2 3'
loop_
_atom_site_label
_atom_site_type_symbol
_atom_site_fract_x
_atom_site_fract_y
_atom_site_fract_z
Hf1 Hf 0.0000 0.0000 0.0000
Mg1 Mg 0.0000 0.0000 0.5000
Fe1 Fe 0.2500 0.2500 0.7500
Ge1 Ge 0.2500 0.2500 0.2500
```

Results
Theoretical density ... 8.29 g/cm³
E ... -99.146 eV for the cell shown

(8)
A plane-wave DFT calculation with PBE was carried out for crystalline HfMgFeGe at its relaxed geometry.

Geometry as CIF:
```
data_HfMgFeGe
_chemical_formula_sum 'Hf4 Mg4 Fe4 Ge4'
_cell_length_a 6.4121
_cell_length_b 6.4121
_cell_length_c 6.4121
_cell_angle_alpha 90.00
_cell_angle_beta 90.00
_cell_angle_gamma 90.00
_symmetry_space_group_name_H-M 'F -4 3 m'
_symmetry_Int_Tables_number 216
_symmetry_space_group_name_Hall 'F -4 2 3'
loop_
_atom_site_label
_atom_site_type_symbol
_atom_site_fract_x
_atom_site_fract_y
_atom_site_fract_z
Hf1 Hf 0.0000 0.0000 0.0000
Mg1 Mg 0.2500 0.2500 0.7500
Fe1 Fe 0.0000 0.0000 0.5000
Ge1 Ge 0.2500 0.2500 0.2500
```

Results
Theoretical density ... 8.35 g/cm³
E ... -95.303 eV for the cell shown

(9)
A plane-wave DFT calculation with PBE was carried out for crystalline HfNbFeGe at its relaxed geometry.

Geometry as CIF:
```
data_HfNbFeGe
_chemical_formula_sum 'Hf4 Nb4 Fe4 Ge4'
_cell_length_a 6.3654
_cell_length_b 6.3654
_cell_length_c 6.3654
_cell_angle_alpha 90.00
_cell_angle_beta 90.00
_cell_angle_gamma 90.00
_symmetry_space_group_name_H-M 'F -4 3 m'
_symmetry_Int_Tables_number 216
_symmetry_space_group_name_Hall 'F -4 2 3'
loop_
_atom_site_label
_atom_site_type_symbol
_atom_site_fract_x
_atom_site_fract_y
_atom_site_fract_z
Hf1 Hf 0.0000 0.0000 0.0000
Nb1 Nb 0.2500 0.2500 0.2500
Fe1 Fe 0.2500 0.2500 0.7500
Ge1 Ge 0.0000 0.0000 0.5000
```

Results
Theoretical density ... 10.30 g/cm³
E ... -131.118 eV for the cell shown

(10)
A plane-wave DFT calculation with PBE was carried out for crystalline HfFeNiGe at its relaxed geometry.

Geometry as CIF:
```
data_HfFeNiGe
_chemical_formula_sum 'Hf4 Fe4 Ni4 Ge4'
_cell_length_a 6.1666
_cell_length_b 6.1666
_cell_length_c 6.1666
_cell_angle_alpha 90.00
_cell_angle_beta 90.00
_cell_angle_gamma 90.00
_symmetry_space_group_name_H-M 'F -4 3 m'
_symmetry_Int_Tables_number 216
_symmetry_space_group_name_Hall 'F -4 2 3'
loop_
_atom_site_label
_atom_site_type_symbol
_atom_site_fract_x
_atom_site_fract_y
_atom_site_fract_z
Hf1 Hf 0.0000 0.0000 0.0000
Fe1 Fe 0.2500 0.2500 0.7500
Ni1 Ni 0.0000 0.0000 0.5000
Ge1 Ge 0.2500 0.2500 0.2500
```

Results
Theoretical density ... 10.36 g/cm³
E ... -115.478 eV for the cell shown

(11)
A plane-wave DFT calculation with PBE was carried out for crystalline HfFeNiGe at its relaxed geometry.

Geometry as CIF:
```
data_HfFeNiGe
_chemical_formula_sum 'Hf4 Fe4 Ni4 Ge4'
_cell_length_a 6.1651
_cell_length_b 6.1651
_cell_length_c 6.1651
_cell_angle_alpha 90.00
_cell_angle_beta 90.00
_cell_angle_gamma 90.00
_symmetry_space_group_name_H-M 'F -4 3 m'
_symmetry_Int_Tables_number 216
_symmetry_space_group_name_Hall 'F -4 2 3'
loop_
_atom_site_label
_atom_site_type_symbol
_atom_site_fract_x
_atom_site_fract_y
_atom_site_fract_z
Hf1 Hf 0.0000 0.0000 0.0000
Fe1 Fe 0.0000 0.0000 0.5000
Ni1 Ni 0.2500 0.2500 0.7500
Ge1 Ge 0.2500 0.2500 0.2500
```

Results
Theoretical density ... 10.36 g/cm³
E ... -116.651 eV for the cell shown

(12)
A plane-wave DFT calculation with PBE was carried out for crystalline HfFeNiGe at its relaxed geometry.

Geometry as CIF:
```
data_HfFeNiGe
_chemical_formula_sum 'Hf4 Fe4 Ni4 Ge4'
_cell_length_a 6.0594
_cell_length_b 6.0594
_cell_length_c 6.0594
_cell_angle_alpha 90.00
_cell_angle_beta 90.00
_cell_angle_gamma 90.00
_symmetry_space_group_name_H-M 'F -4 3 m'
_symmetry_Int_Tables_number 216
_symmetry_space_group_name_Hall 'F -4 2 3'
loop_
_atom_site_label
_atom_site_type_symbol
_atom_site_fract_x
_atom_site_fract_y
_atom_site_fract_z
Hf1 Hf 0.0000 0.0000 0.0000
Fe1 Fe 0.2500 0.2500 0.7500
Ni1 Ni 0.2500 0.2500 0.2500
Ge1 Ge 0.0000 0.0000 0.5000
```

Results
Theoretical density ... 10.92 g/cm³
E ... -119.600 eV for the cell shown

(13)
A plane-wave DFT calculation with PBE was carried out for crystalline HfTaFeGe at its relaxed geometry.

Geometry as CIF:
```
data_HfTaFeGe
_chemical_formula_sum 'Hf4 Ta4 Fe4 Ge4'
_cell_length_a 6.3728
_cell_length_b 6.3728
_cell_length_c 6.3728
_cell_angle_alpha 90.00
_cell_angle_beta 90.00
_cell_angle_gamma 90.00
_symmetry_space_group_name_H-M 'F -4 3 m'
_symmetry_Int_Tables_number 216
_symmetry_space_group_name_Hall 'F -4 2 3'
loop_
_atom_site_label
_atom_site_type_symbol
_atom_site_fract_x
_atom_site_fract_y
_atom_site_fract_z
Hf1 Hf 0.0000 0.0000 0.0000
Ta1 Ta 0.2500 0.2500 0.2500
Fe1 Fe 0.2500 0.2500 0.7500
Ge1 Ge 0.0000 0.0000 0.5000
```

Results
Theoretical density ... 12.52 g/cm³
E ... -136.027 eV for the cell shown

(14)
A plane-wave DFT calculation with PBE was carried out for crystalline HfFeGeW at its relaxed geometry.

Geometry as CIF:
```
data_HfFeGeW
_chemical_formula_sum 'Hf4 Fe4 Ge4 W4'
_cell_length_a 6.2817
_cell_length_b 6.2817
_cell_length_c 6.2817
_cell_angle_alpha 90.00
_cell_angle_beta 90.00
_cell_angle_gamma 90.00
_symmetry_space_group_name_H-M 'F -4 3 m'
_symmetry_Int_Tables_number 216
_symmetry_space_group_name_Hall 'F -4 2 3'
loop_
_atom_site_label
_atom_site_type_symbol
_atom_site_fract_x
_atom_site_fract_y
_atom_site_fract_z
Hf1 Hf 0.0000 0.0000 0.0000
Fe1 Fe 0.2500 0.2500 0.7500
Ge1 Ge 0.0000 0.0000 0.5000
W1 W 0.2500 0.2500 0.2500
```

Results
Theoretical density ... 13.15 g/cm³
E ... -140.382 eV for the cell shown

(15)
A plane-wave DFT calculation with PBE was carried out for crystalline HfZnFeGe at its relaxed geometry.

Geometry as CIF:
```
data_HfZnFeGe
_chemical_formula_sum 'Hf4 Zn4 Fe4 Ge4'
_cell_length_a 6.1678
_cell_length_b 6.1678
_cell_length_c 6.1678
_cell_angle_alpha 90.00
_cell_angle_beta 90.00
_cell_angle_gamma 90.00
_symmetry_space_group_name_H-M 'F -4 3 m'
_symmetry_Int_Tables_number 216
_symmetry_space_group_name_Hall 'F -4 2 3'
loop_
_atom_site_label
_atom_site_type_symbol
_atom_site_fract_x
_atom_site_fract_y
_atom_site_fract_z
Hf1 Hf 0.0000 0.0000 0.0000
Zn1 Zn 0.2500 0.2500 0.2500
Fe1 Fe 0.2500 0.2500 0.7500
Ge1 Ge 0.0000 0.0000 0.5000
```

Results
Theoretical density ... 10.54 g/cm³
E ... -97.452 eV for the cell shown

(16)
A plane-wave DFT calculation with PBE was carried out for crystalline HfZnFeGe at its relaxed geometry.

Geometry as CIF:
```
data_HfZnFeGe
_chemical_formula_sum 'Hf4 Zn4 Fe4 Ge4'
_cell_length_a 6.2886
_cell_length_b 6.2886
_cell_length_c 6.2886
_cell_angle_alpha 90.00
_cell_angle_beta 90.00
_cell_angle_gamma 90.00
_symmetry_space_group_name_H-M 'F -4 3 m'
_symmetry_Int_Tables_number 216
_symmetry_space_group_name_Hall 'F -4 2 3'
loop_
_atom_site_label
_atom_site_type_symbol
_atom_site_fract_x
_atom_site_fract_y
_atom_site_fract_z
Hf1 Hf 0.0000 0.0000 0.0000
Zn1 Zn 0.2500 0.2500 0.7500
Fe1 Fe 0.0000 0.0000 0.5000
Ge1 Ge 0.2500 0.2500 0.2500
```

Results
Theoretical density ... 9.95 g/cm³
E ... -97.114 eV for the cell shown

(17)
A plane-wave DFT calculation with PBE was carried out for crystalline HfZrFeGe2 at its relaxed geometry.

Geometry as CIF:
```
data_HfZrFeGe2
_chemical_formula_sum 'Hf4 Zr4 Fe4 Ge8'
_cell_length_a 10.0046
_cell_length_b 3.9904
_cell_length_c 9.6249
_cell_angle_alpha 90.00
_cell_angle_beta 118.27
_cell_angle_gamma 90.00
_symmetry_space_group_name_H-M 'C 1 2/m 1'
_symmetry_Int_Tables_number 12
_symmetry_space_group_name_Hall '-C 2y'
loop_
_atom_site_label
_atom_site_type_symbol
_atom_site_fract_x
_atom_site_fract_y
_atom_site_fract_z
Hf1 Hf 0.0051 0.0000 0.3315
Zr1 Zr 0.1847 0.0000 0.0997
Fe1 Fe 0.2223 0.5000 0.3756
Ge1 Ge 0.0168 0.5000 0.8715
Ge2 Ge 0.1482 0.5000 0.5772
```

Results
Theoretical density ... 9.24 g/cm³
E ... -157.240 eV for the cell shown

(18)
A plane-wave DFT calculation with PBE was carried out for crystalline HfZrFeGe at its relaxed geometry.

Geometry as CIF:
```
data_HfZrFeGe
_chemical_formula_sum 'Hf4 Zr4 Fe4 Ge4'
_cell_length_a 6.4682
_cell_length_b 6.4682
_cell_length_c 6.4682
_cell_angle_alpha 90.00
_cell_angle_beta 90.00
_cell_angle_gamma 90.00
_symmetry_space_group_name_H-M 'F -4 3 m'
_symmetry_Int_Tables_number 216
_symmetry_space_group_name_Hall 'F -4 2 3'
loop_
_atom_site_label
_atom_site_type_symbol
_atom_site_fract_x
_atom_site_fract_y
_atom_site_fract_z
Hf1 Hf 0.0000 0.0000 0.0000
Zr1 Zr 0.2500 0.2500 0.2500
Fe1 Fe 0.2500 0.2500 0.7500
Ge1 Ge 0.0000 0.0000 0.5000
```

Results
Theoretical density ... 9.77 g/cm³
E ... -124.613 eV for the cell shown

(19)
A plane-wave DFT calculation with PBE was carried out for crystalline FeHg2Ge at its relaxed geometry.

Geometry as CIF:
```
data_FeHg2Ge
_chemical_formula_sum 'Fe4 Hg8 Ge4'
_cell_length_a 6.7841
_cell_length_b 6.7841
_cell_length_c 6.7841
_cell_angle_alpha 90.00
_cell_angle_beta 90.00
_cell_angle_gamma 90.00
_symmetry_space_group_name_H-M 'F -4 3 m'
_symmetry_Int_Tables_number 216
_symmetry_space_group_name_Hall 'F -4 2 3'
loop_
_atom_site_label
_atom_site_type_symbol
_atom_site_fract_x
_atom_site_fract_y
_atom_site_fract_z
Fe1 Fe 0.0000 0.0000 0.0000
Hg1 Hg 0.0000 0.0000 0.5000
Hg2 Hg 0.2500 0.2500 0.2500
Ge1 Ge 0.2500 0.2500 0.7500
```

Results
Theoretical density ... 11.27 g/cm³
E ... -45.155 eV for the cell shown

(20)
A plane-wave DFT calculation with PBE was carried out for crystalline Fe2HgGe at its relaxed geometry.

Geometry as CIF:
```
data_Fe2HgGe
_chemical_formula_sum 'Fe8 Hg4 Ge4'
_cell_length_a 6.3078
_cell_length_b 6.3078
_cell_length_c 6.3078
_cell_angle_alpha 90.00
_cell_angle_beta 90.00
_cell_angle_gamma 90.00
_symmetry_space_group_name_H-M 'F -4 3 m'
_symmetry_Int_Tables_number 216
_symmetry_space_group_name_Hall 'F -4 2 3'
loop_
_atom_site_label
_atom_site_type_symbol
_atom_site_fract_x
_atom_site_fract_y
_atom_site_fract_z
Fe1 Fe 0.0000 0.0000 0.0000
Fe2 Fe 0.2500 0.2500 0.2500
Hg1 Hg 0.2500 0.2500 0.7500
Ge1 Ge 0.0000 0.0000 0.5000
```

Results
Theoretical density ... 10.19 g/cm³
E ... -78.022 eV for the cell shown